VASP calculation (GGA-PBE) on Cu3IrO after structural relaxation.

```
5
Lattice="4.617 0.000 0.000 0.000 4.617 0.000 0.000 0.000 4.617" Properties=species:S:1:pos:R:3 pbc="T T T"
Cu 0.000 0.000 2.308
Cu 0.000 2.308 0.000
Cu 2.308 0.000 0.000
Ir 0.000 0.000 0.000
O 2.308 2.308 2.308
```

Computed properties:
space group = Pm-3m, No. 221
E_tot = -3.64 eV per atom

=====

VASP calculation (GGA-PBE) on Cu2Ir2O7 after structural relaxation.

```
22
Lattice="0.000 4.960 4.960 4.960 0.000 4.960 4.960 4.960 0.000" Properties=species:S:1:pos:R:3 pbc="T T T"
Cu 0.000 0.000 0.000
Cu 2.480 2.480 0.000
Cu 2.480 0.000 2.480
Cu 0.000 2.480 2.480
Ir 4.960 2.480 2.480
Ir 2.480 4.960 2.480
Ir 2.480 2.480 4.960
Ir 4.960 4.960 4.960
O 1.240 1.240 1.240
O 3.720 3.720 1.646
O 3.720 1.646 3.720
O 5.793 3.720 3.720
O 6.199 6.199 4.126
O 6.199 4.126 6.199
O 8.273 6.199 6.199
O 1.646 3.720 3.720
O 3.720 5.793 3.720
O 3.720 3.720 5.793
O 4.126 6.199 6.199
O 6.199 8.273 6.199
O 6.199 6.199 8.273
O 8.679 8.679 8.679
```

Computed properties:
space group = Fd-3m, No. 227
E_tot = -6.04 eV per atom

=====

VASP calculation (GGA-PBE) on Cu2IrO6 after structural relaxation.

```
9
Lattice="4.750 -1.695 0.000 4.750 1.695 0.000 -1.953 0.000 6.578" Properties=species:S:1:pos:R:3 pbc="T T T"
Cu 1.646 0.000 0.946
Cu 5.901 0.000 5.632
Ir -0.977 0.000 3.289
O -0.082 0.000 1.711
O 1.197 0.000 6.262
O 2.743 0.000 2.696
O 4.804 0.000 3.883
O 6.350 0.000 0.316
O 7.629 0.000 4.867
```

Computed properties:
space group = C2/m, No. 12
E_tot = -5.56 eV per atom

=====

VASP calculation (GGA-PBE) on Cu2IrO5 after structural relaxation.

```
16
Lattice="4.897 -2.704 0.000 4.897 2.704 0.000 -2.681 0.000 6.534" Properties=species:S:1:pos:R:3 pbc="T T T"
Cu 0.682 0.146 1.440
Cu -0.659 -0.146 4.707
Cu 7.772 0.146 1.827
Cu 6.431 -0.146 5.094
Ir 4.897 0.000 0.000
Ir 3.556 0.000 3.267
O 2.702 1.814 3.590
O 0.730 0.724 5.592
O 3.070 1.814 6.211
O 4.227 0.867 1.633
O 2.071 -0.724 2.325
O 5.042 0.724 4.209
O 2.886 -0.867 4.900
O 4.043 -1.814 0.323
O 6.383 -0.724 0.942
O 4.411 -1.814 2.944
```

Computed properties:
space group = C2/c, No. 15
E_tot = -5.79 eV per atom

=====

VASP calculation (GGA-PBE) on CuIrO4 after structural relaxation.

```
12
Lattice="-3.165 3.165 3.162 3.165 -3.165 3.162 3.165 3.165 -3.162" Properties=species:S:1:pos:R:3 pbc="T T T"
Cu 0.000 0.000 0.000
Cu 0.000 3.165 1.581
Ir 3.165 0.000 1.469
Ir 0.000 0.000 3.050
O 3.165 1.907 -1.603
O 0.000 1.259 1.559
O 1.243 3.165 -0.149
O 1.923 0.000 3.014
O 3.165 1.923 1.432
O 0.000 1.243 4.595
O -1.259 3.165 3.141
O 1.259 3.165 3.141
```

Computed properties:
space group = I4_1md, No. 109
E_tot = -6.08 eV per atom

=====

VASP calculation (GGA-PBE) on CuIrO4 after structural relaxation.

```
12
Lattice="3.199 -6.318 0.000 3.199 6.318 0.000 -3.016 0.000 3.600" Properties=species:S:1:pos:R:3 pbc="T T T"
Cu 0.937 4.875 2.700
Cu 2.445 -4.875 0.900
Ir 2.445 2.221 0.900
Ir 0.937 -2.221 2.700
O 1.099 3.771 0.988
O 1.040 1.029 1.108
O -0.468 -1.029 2.908
O 3.792 3.771 0.812
O -0.409 -3.771 2.788
O 3.850 1.029 0.692
O 2.342 -1.029 2.492
O 2.284 -3.771 2.612
```

Computed properties:
space group = C2/c, No. 15
E_tot = -5.97 eV per atom

=====

VASP calculation (GGA-PBE) on Cu3IrO6 after structural relaxation.

```
20
Lattice="4.411 2.547 3.137 -4.411 2.547 3.137 0.000 -5.093 3.137" Properties=species:S:1:pos:R:3 pbc="T T T"
Cu -3.006 -0.587 4.358
Cu -0.995 -2.897 5.053
Cu -2.011 2.310 5.053
Cu 2.011 -2.310 4.358
Cu 0.995 2.897 4.358
Cu 3.006 0.587 5.053
Ir 0.000 0.000 0.000
Ir 0.000 0.000 4.706
O -2.865 -2.384 5.057
O -3.497 1.289 4.354
O -0.822 -1.492 3.691
O 0.632 -3.673 4.354
O -0.881 1.458 3.691
O -1.703 -0.034 5.720
O 1.703 0.034 3.691
O 0.881 -1.458 5.720
O -0.632 3.673 5.057
O 0.822 1.492 5.720
O 3.497 -1.289 5.057
O 2.865 2.384 4.354
```

Computed properties:
space group = R-3, No. 148
E_tot = -5.61 eV per atom

=====

VASP calculation (GGA-PBE) on Cu3IrO after structural relaxation.

```
5
Lattice="3.922 0.000 0.000 0.000 3.922 0.000 0.000 0.000 3.922" Properties=species:S:1:pos:R:3 pbc="T T T"
Cu 0.000 0.000 1.961
Cu 0.000 1.961 0.000
Cu 1.961 0.000 0.000
Ir 1.961 1.961 1.961
O 0.000 0.000 0.000
```

Computed properties:
space group = Pm-3m, No. 221
E_tot = -4.98 eV per atom

=====

VASP calculation (GGA-PBE) on CuIr2O after structural relaxation.

```
8
Lattice="-2.201 2.201 6.628 2.201 -2.201 6.628 2.201 2.201 -6.628" Properties=species:S:1:pos:R:3 pbc="T T T"
Cu 0.000 0.000 0.000
Cu 0.000 2.201 3.314
Ir 1.101 -0.515 4.971
Ir 1.686 1.101 1.657
Ir 1.101 2.716 -1.657
Ir 0.515 1.101 8.285
O 2.201 0.000 3.314
O 0.000 0.000 6.628
```

Computed properties:
space group = I-42d, No. 122
E_tot = -6.05 eV per atom

=====

VASP calculation (GGA-PBE) on Cu2Ir2O7 after structural relaxation.

```
11
Lattice="2.902 -4.519 0.000 2.902 4.519 0.000 -0.725 0.000 5.358" Properties=species:S:1:pos:R:3 pbc="T T T"
Cu 1.267 0.000 0.553
Cu 3.813 0.000 4.805
Ir 2.540 2.897 2.679
Ir 2.540 -2.897 2.679
O -0.090 0.000 3.912
O 1.356 1.705 1.651
O 1.356 -1.705 1.651
O 2.902 0.000 0.000
O 3.723 1.705 3.707
O 3.723 -1.705 3.707
O 5.169 0.000 1.445
```

Computed properties:
space group = C2/m, No. 12
E_tot = -5.93 eV per atom

=====

VASP calculation (GGA-PBE) on CuIrO2 after structural relaxation.

```
4
Lattice="0.000 2.716 2.716 2.716 0.000 2.716 2.716 2.716 0.000" Properties=species:S:1:pos:R:3 pbc="T T T"
Cu 0.000 0.000 0.000
Ir 2.716 2.716 2.716
O 1.358 1.358 1.358
O 4.074 4.074 4.074
```

Computed properties:
space group = Fm-3m, No. 225
E_tot = -5.36 eV per atom

=====

VASP calculation (GGA-PBE) on CuIrO2 after structural relaxation.

```
8
Lattice="-2.497 2.497 3.956 2.497 -2.497 3.956 2.497 2.497 -3.956" Properties=species:S:1:pos:R:3 pbc="T T T"
Cu 0.000 0.000 0.000
Cu 0.000 2.497 1.978
Ir 2.497 0.000 1.978
Ir 0.000 0.000 3.956
O 3.745 1.207 -0.989
O 1.207 1.248 0.989
O -1.248 1.290 2.967
O 1.290 1.248 4.944
```

Computed properties:
space group = I-42d, No. 122
E_tot = -5.69 eV per atom

=====

VASP calculation (GGA-PBE) on Cu6IrO12 after structural relaxation.

```
19
Lattice="4.262 2.461 3.559 -4.262 2.461 3.559 0.000 -4.922 3.559" Properties=species:S:1:pos:R:3 pbc="T T T"
Cu -3.115 -0.818 5.599
Cu -0.850 -3.107 5.076
Cu -2.266 2.289 5.076
Cu 2.266 -2.289 5.599
Cu 0.850 3.107 5.599
Cu 3.115 0.818 5.076
Ir 0.000 0.000 5.338
O -2.592 -2.588 5.591
O -3.537 0.951 5.084
O -0.488 -1.486 4.263
O 0.945 -3.539 5.084
O -1.043 1.165 4.263
O -1.531 -0.320 6.413
O 1.531 0.320 4.263
O 1.043 -1.165 6.413
O -0.945 3.539 5.591
O 0.488 1.486 6.413
O 3.537 -0.951 5.591
O 2.592 2.588 5.084
```

Computed properties:
space group = R-3, No. 148
E_tot = -5.29 eV per atom

=====

VASP calculation (GGA-PBE) on Cu2IrO6 after structural relaxation.

```
18
Lattice="4.461 0.000 0.000 0.000 5.376 0.000 0.000 0.000 8.195" Properties=species:S:1:pos:R:3 pbc="T T T"
Cu 0.000 0.000 1.508
Cu 0.000 0.000 6.687
Cu 2.231 2.688 2.590
Cu 2.231 2.688 5.605
Ir 0.000 2.688 0.000
Ir 2.231 0.000 4.097
O 0.894 0.888 0.000
O 1.082 3.496 1.339
O 1.082 3.496 6.855
O 1.149 0.808 2.758
O 1.149 0.808 5.437
O 1.336 3.576 4.097
O 3.125 1.800 4.097
O 3.312 4.567 2.758
O 3.312 4.567 5.437
O 3.379 1.880 1.339
O 3.379 1.880 6.855
O 3.567 4.488 0.000
```

Computed properties:
space group = Pnnm, No. 58
E_tot = -5.66 eV per atom

=====

VASP calculation (GGA-PBE) on CuIrOsO6 after structural relaxation.

```
18
Lattice="5.100 0.000 0.000 -2.550 4.417 0.000 0.000 0.000 8.940" Properties=species:S:1:pos:R:3 pbc="T T T"
Cu 0.000 0.000 0.000
Cu 0.000 0.000 4.470
Ir 0.000 2.944 2.235
Ir 2.550 1.472 6.705
Os 0.000 2.944 6.705
Os 2.550 1.472 2.235
O -0.875 1.589 5.619
O -1.611 2.864 7.791
O 0.875 1.589 7.791
O -0.736 4.380 5.619
O 1.814 0.037 1.149
O 0.939 1.552 3.321
O 1.611 2.864 5.619
O 0.736 4.380 7.791
O 3.286 0.037 3.321
O 1.675 2.828 1.149
O 4.161 1.552 1.149
O 3.425 2.828 3.321
```

Computed properties:
space group = P-31c, No. 163
E_tot = -6.68 eV per atom

=====

VASP calculation (GGA-PBE) on PaCuIrO5 after structural relaxation.

```
16
Lattice="3.153 -4.693 0.000 3.153 4.693 0.000 -2.073 0.000 6.486" Properties=species:S:1:pos:R:3 pbc="T T T"
Pa 1.598 3.454 4.865
Pa 2.635 -3.454 1.622
Cu 2.635 2.999 1.622
Cu 1.598 -2.999 4.865
Ir 3.153 0.000 0.000
Ir 2.117 0.000 3.243
O -0.917 0.489 6.312
O 1.419 1.705 2.377
O 0.119 -0.489 3.069
O 1.598 1.026 4.865
O 3.851 1.705 0.866
O 0.383 -1.705 5.620
O 2.635 -1.026 1.622
O 4.114 0.489 3.417
O 2.814 -1.705 4.109
O 5.150 -0.489 0.174
```

Computed properties:
space group = C2/c, No. 15
E_tot = -7.64 eV per atom

=====

VASP calculation (GGA-PBE) on PaCuIr2O8 after structural relaxation.

```
12
Lattice="5.865 0.000 0.000 -2.933 5.080 0.000 0.000 0.000 5.978" Properties=species:S:1:pos:R:3 pbc="T T T"
Pa 0.000 0.000 0.000
Cu 0.000 0.000 2.989
Ir 0.000 3.386 5.643
Ir 2.933 1.693 0.335
O -0.659 1.938 0.848
O -0.925 4.682 0.848
O 0.000 3.386 3.876
O 1.348 1.540 5.130
O 1.584 3.540 0.848
O 2.933 1.693 2.102
O 3.858 0.398 5.130
O 3.592 3.142 5.130
```

Computed properties:
space group = P-3, No. 147
E_tot = -6.75 eV per atom

=====

VASP calculation (GGA-PBE) on Cu2IrPb2O6 after structural relaxation.

```
11
Lattice="2.946 1.701 5.095 -2.946 1.701 5.095 0.000 -3.401 5.095" Properties=species:S:1:pos:R:3 pbc="T T T"
Cu 0.000 0.000 1.453
Cu 0.000 0.000 13.831
Ir 0.000 0.000 7.642
Pb 0.000 0.000 4.438
Pb 0.000 0.000 10.846
O 0.000 -1.524 6.379
O -1.320 0.762 6.379
O -1.320 -0.762 8.904
O 1.320 0.762 6.379
O 1.320 -0.762 8.904
O 0.000 1.524 8.904
```

Computed properties:
space group = R-3m, No. 166
E_tot = -5.67 eV per atom

=====

VASP calculation (GGA-PBE) on CuIrPbO5 after structural relaxation.

```
16
Lattice="3.515 -4.707 0.000 3.515 4.707 0.000 -3.354 0.000 6.559" Properties=species:S:1:pos:R:3 pbc="T T T"
Cu 1.000 2.941 4.919
Cu 2.677 -2.941 1.640
Ir 3.515 0.000 0.000
Ir 1.838 0.000 3.279
Pb 2.677 3.044 1.640
Pb 1.000 -3.044 4.919
O 0.105 0.422 2.621
O -0.203 1.873 5.965
O -1.572 -0.422 5.901
O 2.202 1.873 3.873
O 2.677 0.658 1.640
O 1.000 -0.658 4.919
O 1.474 -1.873 2.686
O 5.248 0.422 0.658
O 3.879 -1.873 0.594
O 3.571 -0.422 3.937
```

Computed properties:
space group = C2/c, No. 15
E_tot = -5.96 eV per atom

=====

Number 1: mass density 6.732 g/cm3. Number 2: mass density 8.487 g/cm3. Number 3: mass density 6.510 g/cm3. Number 4: mass density 7.664 g/cm3. Number 5: mass density 8.379 g/cm3. Number 6: mass density 7.298 g/cm3. Number 7: mass density 7.521 g/cm3. Number 8: mass density 10.976 g/cm3. Number 9: mass density 11.996 g/cm3. Number 10: mass density 7.367 g/cm3. Number 11: mass density 11.928 g/cm3. Number 12: mass density 9.688 g/cm3. Number 13: mass density 5.676 g/cm3. Number 14: mass density 7.018 g/cm3. Number 15: mass density 8.939 g/cm3. Number 16: mass density 9.806 g/cm3. Number 17: mass density 7.524 g/cm3. Number 18: mass density 8.996 g/cm3. Number 19: mass density 8.309 g/cm3.